Arrangement 1

The following is a PBE calculation of ScBe3Au after structural relaxation, from Alexandria via LeMat-Bulk.

Output
- N(E_F): 0.8322 states/eV per atom
- SG: No. 221

a b c (Å): 4.6465 4.6465 4.6465
angles (deg): 90.00 90.00 90.00
Fractional positions:
Sc 0.0000 0.0000 0.0000
Be 0.0000 0.0000 0.5000
Be 0.0000 0.5000 0.0000
Be 0.5000 0.0000 0.0000
Au 0.5000 0.5000 0.5000

=====

Arrangement 2

The following is a PBE calculation of ScBe3Au after structural relaxation, from Alexandria via LeMat-Bulk.

Output
- N(E_F): 0.2519 states/eV per atom
- SG: No. 221

a b c (Å): 4.2974 4.2974 4.2974
angles (deg): 90.00 90.00 90.00
Fractional positions:
Sc 0.0000 0.0000 0.0000
Be 0.0000 0.5000 0.5000
Be 0.5000 0.0000 0.5000
Be 0.5000 0.5000 0.0000
Au 0.5000 0.5000 0.5000

=====

From most stable to least stable, the computed energies give arrangement 2, arrangement 1.

=====

Arrangement 1

The following is a PBE calculation of Be3AuSe after structural relaxation, from Alexandria via LeMat-Bulk.

Output
- N(E_F): 0.4260 states/eV per atom
- SG: No. 221

a b c (Å): 4.2595 4.2595 4.2595
angles (deg): 90.00 90.00 90.00
Fractional positions:
Be 0.0000 0.0000 0.5000
Be 0.0000 0.5000 0.0000
Be 0.5000 0.0000 0.0000
Au 0.5000 0.5000 0.5000
Se 0.0000 0.0000 0.0000

=====

Arrangement 2

The following is a PBE calculation of Be3AuSe after structural relaxation, from Alexandria via LeMat-Bulk.

Output
- N(E_F): 0.5364 states/eV per atom
- SG: No. 221

a b c (Å): 4.4076 4.4076 4.4076
angles (deg): 90.00 90.00 90.00
Fractional positions:
Be 0.0000 0.0000 0.5000
Be 0.0000 0.5000 0.0000
Be 0.5000 0.0000 0.0000
Au 0.0000 0.0000 0.0000
Se 0.5000 0.5000 0.5000

=====

From most stable to least stable, the computed energies give arrangement 2, arrangement 1.

=====

Arrangement 1

The following is a PBE calculation of BeAuSe2 after structural relaxation, from Alexandria via LeMat-Bulk.

Output
- N(E_F): 0.3056 states/eV per atom
- SG: No. 123

a b c (Å): 3.0692 3.0692 7.7183
angles (deg): 90.00 90.00 90.00
Fractional positions:
Be 0.0000 0.0000 0.0000
Au 0.0000 0.0000 0.5000
Se 0.5000 0.5000 0.1746
Se 0.5000 0.5000 0.8254

=====

Arrangement 2

The following is a PBE calculation of BeAuSe2 after structural relaxation, from Alexandria via LeMat-Bulk.

Output
- N(E_F): 0.4332 states/eV per atom
- SG: No. 35

a b c (Å): 2.8932 2.8932 9.7701
angles (deg): 90.00 90.00 107.22
Fractional positions:
Be 0.0000 0.0000 0.0000
Au 0.5000 0.5000 0.1779
Se 0.0000 0.0000 0.4445
Se 0.5000 0.5000 0.8452

=====

From most stable to least stable, the computed energies give arrangement 2, arrangement 1.